Below is a relaxed Be2Ag3Au5 crystal, with properties calculated at the PBE level.

Geometry as POSCAR:
```
Be2Ag3Au5
1.0
3.576 0.000 0.000
0.000 9.598 0.000
0.000 0.000 9.598
Be Ag Au
4 6 10
Direct
0.000 0.126 0.626
0.000 0.874 0.374
0.000 0.374 0.126
0.000 0.626 0.874
0.000 0.326 0.826
0.000 0.674 0.174
0.000 0.174 0.326
0.000 0.826 0.674
0.000 0.000 0.000
0.000 0.500 0.500
0.500 0.211 0.075
0.500 0.789 0.925
0.500 0.925 0.211
0.500 0.075 0.789
0.500 0.289 0.575
0.500 0.711 0.425
0.500 0.575 0.711
0.500 0.425 0.289
0.500 0.000 0.500
0.500 0.500 0.000
```

Calculated values
Total energy (eV per atom): -3.28
Crystal system: tetragonal
Total moment (μB per cell): 0.0
D(E_F) (states/eV/f.u.): 3.2

---

Below is a relaxed K2TiAs2 crystal, with properties calculated at the PBE level.

Geometry as POSCAR:
```
K2TiAs2
1.0
6.900 0.000 0.000
0.000 6.900 0.000
0.000 0.000 5.579
As K Ti
4 4 2
Direct
0.363 0.863 0.000
0.863 0.637 0.000
0.637 0.137 0.000
0.137 0.363 0.000
0.168 0.668 0.500
0.668 0.832 0.500
0.832 0.332 0.500
0.332 0.168 0.500
0.000 0.000 0.000
0.500 0.500 0.000
```

Calculated values
Crystal system: tetragonal
Energy above the most stable polymorph in this dataset (eV/atom): 0.383
Total moment (μB per cell): 3.8
D(E_F) (states/eV/f.u.): 2.7